[1]
Below is TaMn2Tc after structural relaxation, with properties calculated at the PBE level.

Properties
ΔE_f (eV/atom): -0.023
Fermi-level density of states (states/eV/f.u.): 4.8
ΔE to the lowest computed polymorph (eV/f.u.): 0.17
Calculated density (g cm⁻³): 11.32
E (eV/f.u.): -40.65

The structure in POSCAR format:
```
TaMn2Tc
1.0
4.3213 0.0000 0.0000
2.1606 3.7423 0.0000
2.1606 1.2474 3.5283
Mn Tc Ta
2 1 1
direct
0.0000 0.0000 0.0000
0.2500 0.2500 0.2500
0.7500 0.7500 0.7500
0.5000 0.5000 0.5000
```



[2]
Below is LiTa2Ir after structural relaxation, with properties calculated at the PBE level.

Properties
ΔE_f (eV/atom): -0.062
Fermi-level density of states (states/eV/f.u.): 3.7
Calculated density (g cm⁻³): 14.56
E (eV/f.u.): -34.73

The structure in POSCAR format:
```
LiTa2Ir
1.0
2.8643 0.0000 0.0000
0.0000 4.0172 0.0000
0.0000 0.0000 5.5603
Ir Ta Li
1 2 1
direct
0.5000 0.5000 0.2500
0.0000 0.0000 0.0074
0.0000 0.0000 0.4926
0.5000 0.5000 0.7500
```



[3]
Below is CuRe2Os after structural relaxation, with properties calculated at the PBE level.

Properties
ΔE_f (eV/atom): 0.232
Fermi-level density of states (states/eV/f.u.): 3.0
ΔE to the lowest computed polymorph (eV/f.u.): 0.14
Calculated density (g cm⁻³): 18.14
E (eV/f.u.): -39.29

The structure in POSCAR format:
```
CuRe2Os
1.0
-0.7383 -0.7619 -4.6266
1.4414 -2.2411 -3.9282
-2.6915 -3.8330 0.2818
Os Re Cu
1 2 1
direct
0.7407 0.7407 0.7571
0.2568 0.2568 0.2494
0.0024 0.0024 0.9948
0.5000 0.5000 0.4987
```



[4]
Below is LaTl2P after structural relaxation, with properties calculated at the PBE level.

Properties
ΔE_f (eV/atom): -0.016
Fermi-level density of states (states/eV/f.u.): 3.7
ΔE to the lowest computed polymorph (eV/f.u.): 2.06
Calculated density (g cm⁻³): 8.83
E (eV/f.u.): -15.13

The structure in POSCAR format:
```
LaTl2P
1.0
4.9753 -1.9387 0.4626
3.0032 1.3104 4.2414
1.1064 -3.6771 3.7391
Tl La P
2 1 1
direct
0.7500 0.7500 0.7500
0.2500 0.2500 0.2500
0.5000 0.5000 0.5000
0.0000 0.0000 0.0000
```